1.
# MgPaFeRu | Alexandria via LeMat-Bulk | PBE | relaxed
# Energy of formation, eV per atom: -0.155
# Calculated total energy, eV/atom: -7.362
# Calculated volume, Å³/atom: 16.93
# Fermi-level density of states, states/eV per atom: 0.48
data_MgPaFeRu
_symmetry_space_group_name_H-M 'F -4 3 m'
_symmetry_Int_Tables_number 216
_symmetry_space_group_name_Hall 'F -4 2 3'
_cell_length_a 6.470
_cell_length_b 6.470
_cell_length_c 6.470
_cell_angle_alpha 90.00
_cell_angle_beta 90.00
_cell_angle_gamma 90.00
loop_
_atom_site_label
_atom_site_fract_x
_atom_site_fract_y
_atom_site_fract_z
Mg1 0.000 0.000 0.000
Pa1 0.000 0.000 0.500
Fe1 0.250 0.250 0.750
Ru1 0.250 0.250 0.250

2.
# CrAgOs2 | Alexandria via LeMat-Bulk | PBE | relaxed
# Energy relative to the lowest polymorph listed for this composition, eV per atom: 0.216
# Energy of formation, eV per atom: 0.490
# Calculated total energy, eV/atom: -8.243
# Calculated volume, Å³/atom: 14.80
# Fermi-level density of states, states/eV per atom: 0.78
data_CrAgOs2
_symmetry_space_group_name_H-M 'I m m m'
_symmetry_Int_Tables_number 71
_symmetry_space_group_name_Hall '-I 2 2'
_cell_length_a 2.749
_cell_length_b 4.564
_cell_length_c 9.436
_cell_angle_alpha 90.00
_cell_angle_beta 90.00
_cell_angle_gamma 90.00
loop_
_atom_site_label
_atom_site_fract_x
_atom_site_fract_y
_atom_site_fract_z
Cr1 0.000 0.000 0.000
Ag1 0.000 0.000 0.500
Os1 0.000 0.500 0.283

3.
# Ac3RuCl2 | Alexandria via LeMat-Bulk | PBE | relaxed
# Energy relative to the lowest polymorph listed for this composition, eV per atom: 0.000
# Calculated total energy, eV/atom: -5.341
# Calculated volume, Å³/atom: 33.32
# Fermi-level density of states, states/eV per atom: 0.62
# ΔE_f (raw), meV per atom: -1126
data_Ac3RuCl2
_symmetry_space_group_name_H-M 'I m m m'
_symmetry_Int_Tables_number 71
_symmetry_space_group_name_Hall '-I 2 2'
_cell_length_a 4.304
_cell_length_b 6.013
_cell_length_c 15.448
_cell_angle_alpha 90.00
_cell_angle_beta 90.00
_cell_angle_gamma 90.00
loop_
_atom_site_label
_atom_site_fract_x
_atom_site_fract_y
_atom_site_fract_z
Ac1 0.000 0.000 0.000
Ac2 0.000 0.000 0.372
Ru1 0.000 0.500 0.000
Cl1 0.000 0.500 0.317

4.
# Dy4Se5O | Alexandria via LeMat-Bulk | PBE | relaxed
# Calculated total energy, eV/atom: -6.040
# Calculated volume, Å³/atom: 25.18
# Fermi-level density of states, states/eV per atom: 0.00
# ΔE_f (raw), meV per atom: -1961
data_Dy4Se5O
_symmetry_space_group_name_H-M 'I m m m'
_symmetry_Int_Tables_number 71
_symmetry_space_group_name_Hall '-I 2 2'
_cell_length_a 3.794
_cell_length_b 7.432
_cell_length_c 17.859
_cell_angle_alpha 90.00
_cell_angle_beta 90.00
_cell_angle_gamma 90.00
loop_
_atom_site_label
_atom_site_fract_x
_atom_site_fract_y
_atom_site_fract_z
Dy1 0.000 0.000 0.219
Dy2 0.000 0.281 0.500
Se1 0.000 0.254 0.341
Se2 0.000 0.500 0.000
O1 0.000 0.000 0.000

5.
# Cr2SiPAu | Alexandria via LeMat-Bulk | PBE | relaxed
# Energy relative to the lowest polymorph listed for this composition, eV per atom: 0.125
# Calculated total energy, eV/atom: -6.652
# Calculated volume, Å³/atom: 14.44
# Fermi-level density of states, states/eV per atom: 0.57
# ΔE_f (raw), meV per atom: 19
data_Cr2SiPAu
_symmetry_space_group_name_H-M 'R 3 m'
_symmetry_Int_Tables_number 160
_symmetry_space_group_name_Hall 'R 3 -2"'
_cell_length_a 3.9270
_cell_length_b 3.9270
_cell_length_c 16.2157
_cell_angle_alpha 90.00
_cell_angle_beta 90.00
_cell_angle_gamma 120.00
loop_
_atom_site_label
_atom_site_fract_x
_atom_site_fract_y
_atom_site_fract_z
Cr1 0.0000 0.0000 0.0000
Cr2 0.0000 0.0000 0.2349
Si1 0.0000 0.0000 0.8460
P1 0.0000 0.0000 0.6561
Au1 0.0000 0.0000 0.4448

6.
# Zn3AgAu5 | Alexandria via LeMat-Bulk | PBE | relaxed
# Energy of formation, eV per atom: -0.157
# Calculated total energy, eV/atom: -2.719
# Calculated volume, Å³/atom: 16.94
# Fermi-level density of states, states/eV per atom: 0.33
data_Zn3AgAu5
_symmetry_space_group_name_H-M 'P 63/m c m'
_symmetry_Int_Tables_number 193
_symmetry_space_group_name_Hall '-P 6c 2'
_cell_length_a 7.8663
_cell_length_b 7.8663
_cell_length_c 5.6916
_cell_angle_alpha 90.00
_cell_angle_beta 90.00
_cell_angle_gamma 120.00
loop_
_atom_site_label
_atom_site_fract_x
_atom_site_fract_y
_atom_site_fract_z
Zn1 0.0000 0.3370 0.2500
Ag1 0.0000 0.0000 0.0000
Au1 0.0000 0.3285 0.7500
Au2 0.3333 0.6667 0.0000